Record 1
Entry from Alexandria: a relaxed structure of Cs2SmAuBr6 (PBE).

## Properties
Total moment in μB per cell: 0.00
Volume in A^3/atom: 40.1
Calculated total energy in eV/atom: -3.435
DOS(E_F) in states/eV per atom: 0.000
Space group: No. 2

abc: 8.137 8.132 8.648
angles: 57.98 57.96 82.84
Fractional positions:
Cs 0.750 0.250 0.500
Cs 0.250 0.750 0.500
Sm 0.000 0.000 0.000
Br 0.269 0.733 0.000
Br 0.767 0.765 0.003
Br 0.233 0.235 0.997
Br 0.731 0.267 0.000
Br 0.231 0.231 0.536
Br 0.769 0.769 0.464
Au 0.500 0.500 0.000

***

Record 2
Entry from Alexandria: a relaxed structure of CsSn2AuBr (PBE).

## Properties
Total moment in μB per cell: 0.01
Volume in A^3/atom: 43.3
Calculated total energy in eV/atom: -2.420
DOS(E_F) in states/eV per atom: 1.196
Space group: No. 123

abc: 5.662 6.760 5.662
angles: 90.00 90.00 90.00
Fractional positions:
Cs 0.000 0.500 0.000
Au 0.500 0.500 0.500
Br 0.000 0.000 0.000
Sn 0.500 0.000 0.000
Sn 0.000 0.000 0.500

***

Record 3
Entry from Alexandria: a relaxed structure of Cs2SnAuBr6 (PBE).

## Properties
Total moment in μB per cell: 0.00
Volume in A^3/atom: 35.7
Calculated total energy in eV/atom: -2.939
DOS(E_F) in states/eV per atom: 0.149
Space group: No. 139

abc: 7.931 7.931 7.974
angles: 60.18 60.18 90.00
Fractional positions:
Cs 0.250 0.750 0.500
Cs 0.750 0.250 0.500
Au 0.000 0.000 0.000
Br 0.251 0.251 0.498
Br 0.749 0.749 0.502
Br 0.248 0.752 0.000
Br 0.752 0.752 0.000
Br 0.248 0.248 0.000
Br 0.752 0.248 0.000
Sn 0.500 0.500 0.000

***

Record 4
Entry from Alexandria: a relaxed structure of Cs2SrAu2Br6 (PBE).

## Properties
Total moment in μB per cell: 0.00
Volume in A^3/atom: 39.8
Calculated total energy in eV/atom: -3.025
DOS(E_F) in states/eV per atom: 0.000
Space group: No. 12

abc: 8.202 8.464 8.522
angles: 117.86 90.00 118.98
Fractional positions:
Br 0.741 0.482 0.660
Br 0.259 0.518 0.340
Br 0.690 0.887 0.193
Br 0.197 0.887 0.193
Br 0.310 0.113 0.807
Br 0.803 0.113 0.807
Au 0.057 0.115 0.209
Au 0.943 0.885 0.791
Cs 0.738 0.476 0.220
Cs 0.262 0.524 0.780
Sr 0.500 0.000 0.500